VASP calculation (PBE) on a relaxed structure of Y4Rh3Au.

As for the formation energy: -0.8276 eV/atom. For the density of states at the Fermi level, the calculation gives 6.3 states/eV/cell.

Cell lengths 4.8909, 4.8909, 7.0563 Å; angles 90.00, 90.00, 90.00 degrees
With the nearest neighbours (Å) after each atom.
Space group P4/mmm (No. 123)
Symmetry-distinct sites (fractional):
Y: 0.0000 0.5000 0.2424 x4  6 Rh 2.98-3.05, 2 Au 3.05
Rh: 0.0000 0.0000 0.0000 x1  8 Y 2.98
Rh: 0.0000 0.0000 0.5000 x1  8 Y 3.05
Rh: 0.5000 0.5000 0.0000 x1  8 Y 2.98
Au: 0.5000 0.5000 0.5000 x1  8 Y 3.05